No. 1
VASP calculation (GGA-PBE) on Th5Np3C12 after structural relaxation.

Summary:
Size of the total moment = 17.34 μB/cell
Total energy = -717.8 eV per cell
SG = Ia-3d, No. 230

abc: 12.196 12.196 12.196
angles: 109.47 109.47 109.47
Atoms (fractional coordinates):
Th  0.000  0.000  0.000
Th  0.000  0.000  0.500
Th  0.000  0.500  0.000
Th  0.000  0.500  0.500
Th  0.125  0.750  0.875
Th  0.125  0.875  0.250
Th  0.250  0.125  0.875
Th  0.250  0.625  0.375
Th  0.375  0.250  0.625
Th  0.375  0.625  0.750
Th  0.500  0.000  0.000
Th  0.500  0.000  0.500
Th  0.500  0.500  0.000
Th  0.500  0.500  0.500
Th  0.625  0.375  0.250
Th  0.625  0.750  0.375
Th  0.750  0.375  0.625
Th  0.750  0.875  0.125
Th  0.875  0.125  0.750
Th  0.875  0.250  0.125
Np  0.125  0.250  0.375
Np  0.125  0.375  0.750
Np  0.250  0.375  0.125
Np  0.250  0.875  0.625
Np  0.375  0.125  0.250
Np  0.375  0.750  0.125
Np  0.625  0.250  0.875
Np  0.625  0.875  0.750
Np  0.750  0.125  0.375
Np  0.750  0.625  0.875
Np  0.875  0.625  0.250
Np  0.875  0.750  0.625
C  0.086  0.690  0.411
C  0.086  0.896  0.675
C  0.089  0.779  0.675
C  0.089  0.810  0.414
C  0.104  0.279  0.190
C  0.104  0.325  0.914
C  0.175  0.279  0.589
C  0.175  0.396  0.586
C  0.190  0.104  0.279
C  0.190  0.586  0.911
C  0.221  0.325  0.911
C  0.221  0.396  0.310
C  0.279  0.190  0.104
C  0.279  0.589  0.175
C  0.310  0.221  0.396
C  0.310  0.589  0.914
C  0.325  0.911  0.221
C  0.325  0.914  0.104
C  0.396  0.310  0.221
C  0.396  0.586  0.175
C  0.411  0.086  0.690
C  0.411  0.825  0.721
C  0.414  0.089  0.810
C  0.414  0.825  0.604
C  0.586  0.175  0.396
C  0.586  0.911  0.190
C  0.589  0.175  0.279
C  0.589  0.914  0.310
C  0.604  0.414  0.825
C  0.604  0.690  0.779
C  0.675  0.086  0.896
C  0.675  0.089  0.779
C  0.690  0.411  0.086
C  0.690  0.779  0.604
C  0.721  0.411  0.825
C  0.721  0.810  0.896
C  0.779  0.604  0.690
C  0.779  0.675  0.089
C  0.810  0.414  0.089
C  0.810  0.896  0.721
C  0.825  0.604  0.414
C  0.825  0.721  0.411
C  0.896  0.675  0.086
C  0.896  0.721  0.810
C  0.911  0.190  0.586
C  0.911  0.221  0.325
C  0.914  0.104  0.325
C  0.914  0.310  0.589

=====

No. 2
VASP calculation (GGA-PBE) on La6AuSe2I3 after structural relaxation.

Summary:
Size of the total moment = 0.00 μB/cell
SG = C2/m, No. 12
Energy relative to the elements, uncorrected = -1.314 eV/atom

abc: 7.542 7.542 8.224
angles: 98.74 98.74 119.90
Atoms (fractional coordinates):
La  0.092  0.430  0.790
La  0.232  0.232  0.209
La  0.430  0.092  0.790
La  0.570  0.908  0.210
La  0.768  0.768  0.791
La  0.908  0.570  0.210
Au  0.500  0.500  0.000
Se  0.167  0.833  0.000
Se  0.833  0.167  0.000
I  0.000  0.000  0.500
I  0.334  0.666  0.500
I  0.666  0.334  0.500

=====

No. 3
VASP calculation (GGA-PBE) on TiSiPb after structural relaxation.

Summary:
Excess energy over the best structure of this formula in the dataset = 0.000 eV/atom
Size of the total moment = 0.00 μB/cell
SG = P2_1/m, No. 11
Energy relative to the elements, uncorrected = -0.279 eV/atom

abc: 3.457 3.573 10.373
angles: 90.00 99.48 90.00
Atoms (fractional coordinates):
Ti  0.066  0.250  0.133
Ti  0.934  0.750  0.867
Si  0.462  0.250  0.924
Si  0.538  0.750  0.076
Pb  0.324  0.250  0.643
Pb  0.676  0.750  0.357

=====

No. 4
VASP calculation (GGA-PBE) on InGaRh after structural relaxation.

Summary:
Size of the total moment = 0.00 μB/cell
Total energy = -56.1 eV per cell
SG = P4_2/m, No. 84

abc: 8.041 8.041 3.594
angles: 90.00 90.00 90.00
Atoms (fractional coordinates):
In  0.074  0.722  0.000
In  0.278  0.074  0.500
In  0.722  0.926  0.500
In  0.926  0.278  0.000
Ga  0.352  0.642  0.500
Ga  0.358  0.352  0.000
Ga  0.642  0.648  0.000
Ga  0.648  0.358  0.500
Rh  0.152  0.403  0.500
Rh  0.403  0.848  0.000
Rh  0.597  0.152  0.000
Rh  0.848  0.597  0.500

=====

No. 5
VASP calculation (GGA-PBE) on CaAc6Ir3 after structural relaxation.

Summary:
Size of the total moment = 0.00 μB/cell
Total energy = -116.1 eV per cell
SG = P2_1/m, No. 11

abc: 13.386 4.366 13.395
angles: 90.00 102.82 90.00
Atoms (fractional coordinates):
Ca  0.028  0.250  0.134
Ca  0.972  0.750  0.866
Ac  0.065  0.750  0.405
Ac  0.200  0.750  0.695
Ac  0.233  0.250  0.968
Ac  0.326  0.750  0.254
Ac  0.389  0.250  0.543
Ac  0.481  0.750  0.867
Ac  0.519  0.250  0.133
Ac  0.611  0.750  0.457
Ac  0.674  0.250  0.746
Ac  0.767  0.750  0.032
Ac  0.800  0.250  0.305
Ac  0.935  0.250  0.595
Ir  0.150  0.250  0.550
Ir  0.370  0.750  0.044
Ir  0.471  0.250  0.347
Ir  0.529  0.750  0.653
Ir  0.630  0.250  0.956
Ir  0.850  0.750  0.450

=====

No. 6
VASP calculation (GGA-PBE) on Li2HgBi2 after structural relaxation.

Summary:
Excess energy over the best structure of this formula in the dataset = 0.045 eV/atom
Size of the total moment = 0.00 μB/cell
SG = P4/mbm, No. 127

abc: 8.760 8.760 3.291
angles: 90.00 90.00 90.00
Atoms (fractional coordinates):
Li  0.119  0.381  0.000
Li  0.381  0.881  0.000
Li  0.619  0.119  0.000
Li  0.881  0.619  0.000
Hg  0.000  0.000  0.500
Hg  0.500  0.500  0.500
Bi  0.179  0.679  0.500
Bi  0.321  0.179  0.500
Bi  0.679  0.821  0.500
Bi  0.821  0.321  0.500

=====

No. 7
VASP calculation (GGA-PBE) on Ac2NiHg3 after structural relaxation.

Summary:
Excess energy over the best structure of this formula in the dataset = 0.000 eV/atom
Size of the total moment = 0.00 μB/cell
SG = Pmm2, No. 25

abc: 4.023 4.861 8.590
angles: 90.00 90.00 90.00
Atoms (fractional coordinates):
Ac  0.000  0.000  0.000
Ac  0.000  0.500  0.446
Ni  0.500  0.000  0.287
Hg  0.500  0.000  0.604
Hg  0.500  0.500  0.144
Hg  0.500  0.500  0.799

=====

No. 8
VASP calculation (GGA-PBE) on RbTeP2O8 after structural relaxation.

Summary:
Size of the total moment = 0.89 μB/cell
SG = P-3, No. 147
Energy relative to the elements, uncorrected = -1.798 eV/atom

abc: 4.963 4.963 9.056
angles: 90.00 90.00 120.00
Atoms (fractional coordinates):
Rb  0.000  0.000  0.000
Te  0.000  0.000  0.500
P  0.333  0.667  0.703
P  0.667  0.333  0.297
O  0.053  0.356  0.640
O  0.303  0.947  0.640
O  0.333  0.667  0.868
O  0.356  0.303  0.360
O  0.644  0.697  0.640
O  0.667  0.333  0.132
O  0.697  0.053  0.360
O  0.947  0.644  0.360

=====

No. 9
VASP calculation (GGA-PBE) on Rb2BaTiBr6 after structural relaxation.

Summary:
Size of the total moment = 2.00 μB/cell
SG = Fm-3m, No. 225
Energy relative to the elements, uncorrected = -1.589 eV/atom

abc: 8.217 8.217 8.217
angles: 60.00 60.00 60.00
Atoms (fractional coordinates):
Rb  0.250  0.250  0.250
Rb  0.750  0.750  0.750
Ba  0.000  0.000  0.000
Ti  0.500  0.500  0.500
Br  0.270  0.270  0.730
Br  0.270  0.730  0.270
Br  0.270  0.730  0.730
Br  0.730  0.270  0.270
Br  0.730  0.270  0.730
Br  0.730  0.730  0.270

=====

No. 10
VASP calculation (GGA-PBE) on MgZn2Sn2 after structural relaxation.

Summary:
Excess energy over the best structure of this formula in the dataset = 0.000 eV/atom
Size of the total moment = 0.00 μB/cell
SG = P4/mbm, No. 127

abc: 7.372 7.372 4.005
angles: 90.00 90.00 90.00
Atoms (fractional coordinates):
Mg  0.000  0.000  0.000
Mg  0.500  0.500  0.000
Zn  0.123  0.377  0.000
Zn  0.377  0.877  0.000
Zn  0.623  0.123  0.000
Zn  0.877  0.623  0.000
Sn  0.181  0.681  0.500
Sn  0.319  0.181  0.500
Sn  0.681  0.819  0.500
Sn  0.819  0.319  0.500

=====

No. 11
VASP calculation (GGA-PBE) on Ac2SiPd4Au2 after structural relaxation.

Summary:
Size of the total moment = 0.00 μB/cell
SG = I4/mmm, No. 139
Energy relative to the elements, uncorrected = -0.733 eV/atom

abc: 6.497 6.497 6.497
angles: 121.05 121.05 88.19
Atoms (fractional coordinates):
Ac  0.250  0.750  0.500
Ac  0.750  0.250  0.500
Si  0.000  0.000  0.000
Pd  0.269  0.269  0.537
Pd  0.269  0.731  0.000
Pd  0.731  0.269  0.000
Pd  0.731  0.731  0.463
Au  0.281  0.281  0.000
Au  0.719  0.719  0.000

=====

No. 12
VASP calculation (GGA-PBE) on TeOs2Pb after structural relaxation.

Summary:
Excess energy over the best structure of this formula in the dataset = 0.836 eV/atom
Size of the total moment = 0.00 μB/cell
SG = C2/m, No. 12
Energy relative to the elements, uncorrected = 1.317 eV/atom

abc: 6.291 9.163 3.115
angles: 90.00 119.29 90.00
Atoms (fractional coordinates):
Te  0.000  0.000  0.000
Te  0.500  0.500  0.000
Os  0.250  0.250  0.000
Os  0.250  0.750  0.000
Os  0.750  0.250  0.000
Os  0.750  0.750  0.000
Pb  0.000  0.500  0.000
Pb  0.500  0.000  0.000

=====

No. 13
VASP calculation (GGA-PBE) on UAsOs after structural relaxation.

Summary:
Size of the total moment = 1.02 μB/cell
Total energy = -28.3 eV per cell
SG = P-6m2, No. 187

abc: 4.350 4.350 3.395
angles: 90.00 90.00 120.00
Atoms (fractional coordinates):
U  0.000  0.000  0.000
As  0.333  0.667  0.500
Os  0.667  0.333  0.500

=====

No. 14
VASP calculation (GGA-PBE) on GaTc4W after structural relaxation.

Summary:
Size of the total moment = 0.00 μB/cell
Total energy = -115.5 eV per cell
SG = C2/m, No. 12

abc: 9.938 3.118 6.019
angles: 90.00 107.98 90.00
Atoms (fractional coordinates):
Ga  0.000  0.000  0.000
Ga  0.500  0.500  0.000
Tc  0.163  0.500  0.835
Tc  0.168  0.500  0.331
Tc  0.332  0.000  0.669
Tc  0.337  0.000  0.165
Tc  0.663  0.000  0.835
Tc  0.668  0.000  0.331
Tc  0.832  0.500  0.669
Tc  0.837  0.500  0.165
W  0.000  0.000  0.500
W  0.500  0.500  0.500

=====

No. 15
VASP calculation (GGA-PBE) on Ca2TeO after structural relaxation.

Summary:
Excess energy over the best structure of this formula in the dataset = 0.278 eV/atom
Size of the total moment = 0.00 μB/cell
SG = Cmmm, No. 65
Energy relative to the elements, uncorrected = -1.914 eV/atom

abc: 8.471 10.274 4.385
angles: 90.00 90.00 90.00
Atoms (fractional coordinates):
Ca  0.000  0.000  0.000
Ca  0.000  0.500  0.500
Ca  0.250  0.250  0.000
Ca  0.250  0.750  0.000
Ca  0.500  0.000  0.500
Ca  0.500  0.500  0.000
Ca  0.750  0.250  0.000
Ca  0.750  0.750  0.000
Te  0.000  0.209  0.500
Te  0.000  0.791  0.500
Te  0.500  0.291  0.500
Te  0.500  0.709  0.500
O  0.219  0.500  0.000
O  0.281  0.000  0.000
O  0.719  0.000  0.000
O  0.781  0.500  0.000

=====

No. 16
VASP calculation (GGA-PBE) on VBr3N after structural relaxation.

Summary:
Excess energy over the best structure of this formula in the dataset = 0.513 eV/atom
Size of the total moment = 4.04 μB/cell
SG = Pm-3m, No. 221
Energy relative to the elements, uncorrected = 1.084 eV/atom

abc: 4.714 4.714 4.714
angles: 90.00 90.00 90.00
Atoms (fractional coordinates):
V  0.000  0.000  0.000
Br  0.000  0.500  0.500
Br  0.500  0.000  0.500
Br  0.500  0.500  0.000
N  0.500  0.500  0.500

=====

No. 17
VASP calculation (GGA-PBE) on LaSO4F2 after structural relaxation.

Summary:
Size of the total moment = 2.06 μB/cell
SG = Pmn2_1, No. 31
Energy relative to the elements, uncorrected = -2.339 eV/atom

abc: 6.346 7.146 5.952
angles: 90.00 90.00 90.00
Atoms (fractional coordinates):
La  0.000  0.125  0.000
La  0.500  0.875  0.500
S  0.000  0.508  0.501
S  0.500  0.492  0.001
O  0.000  0.388  0.300
O  0.000  0.390  0.704
O  0.186  0.632  0.500
O  0.314  0.368  0.000
O  0.500  0.610  0.204
O  0.500  0.612  0.800
O  0.686  0.368  0.000
O  0.814  0.632  0.500
F  0.250  0.001  0.749
F  0.250  0.999  0.249
F  0.750  0.001  0.749
F  0.750  0.999  0.249

=====

No. 18
VASP calculation (GGA-PBE) on ThAl2Pd3 after structural relaxation.

Summary:
Size of the total moment = 0.00 μB/cell
Total energy = -71.3 eV per cell
SG = P6_3/mmc, No. 194

abc: 4.417 4.417 13.100
angles: 90.00 90.00 120.00
Atoms (fractional coordinates):
Th  0.000  0.000  0.250
Th  0.000  0.000  0.750
Al  0.333  0.667  0.071
Al  0.333  0.667  0.429
Al  0.667  0.333  0.571
Al  0.667  0.333  0.929
Pd  0.000  0.000  0.000
Pd  0.000  0.000  0.500
Pd  0.333  0.667  0.625
Pd  0.333  0.667  0.875
Pd  0.667  0.333  0.125
Pd  0.667  0.333  0.375

=====

No. 19
VASP calculation (GGA-PBE) on PuGe2Pd after structural relaxation.

Summary:
Size of the total moment = 16.27 μB/cell
Total energy = -92.7 eV per cell
SG = R-3m, No. 166

abc: 4.270 4.270 14.898
angles: 90.00 90.00 120.00
Atoms (fractional coordinates):
Pu  0.000  0.000  0.000
Pu  0.333  0.667  0.667
Pu  0.667  0.333  0.333
Ge  0.000  0.000  0.223
Ge  0.000  0.000  0.777
Ge  0.333  0.667  0.443
Ge  0.333  0.667  0.890
Ge  0.667  0.333  0.110
Ge  0.667  0.333  0.557
Pd  0.000  0.000  0.500
Pd  0.333  0.667  0.167
Pd  0.667  0.333  0.833

=====

No. 20
VASP calculation (GGA-PBE) on PmNdTmHg after structural relaxation.

Summary:
Excess energy over the best structure of this formula in the dataset = 0.208 eV/atom
Size of the total moment = 0.44 μB/cell
SG = F-43m, No. 216

abc: 7.747 7.747 7.747
angles: 90.00 90.00 90.00
Atoms (fractional coordinates):
Pm  0.000  0.000  0.000
Pm  0.000  0.500  0.500
Pm  0.500  0.000  0.500
Pm  0.500  0.500  0.000
Nd  0.250  0.250  0.250
Nd  0.250  0.750  0.750
Nd  0.750  0.250  0.750
Nd  0.750  0.750  0.250
Tm  0.250  0.250  0.750
Tm  0.250  0.750  0.250
Tm  0.750  0.250  0.250
Tm  0.750  0.750  0.750
Hg  0.000  0.000  0.500
Hg  0.000  0.500  0.000
Hg  0.500  0.000  0.000
Hg  0.500  0.500  0.500